## ErZn5 (PBE)

Data for an optimized crystal structure of ErZn5.

## Properties
The calculated density comes out at 7.825 g/cm³. The formation energy comes out at -3.8 kcal/mol of atoms. The total energy is -1.9875 eV/atom.

```
data_ErZn5
_chemical_formula_sum 'Er2 Zn10'
_symmetry_space_group_name_H-M 'C m m m'
_symmetry_Int_Tables_number 65
_symmetry_space_group_name_Hall '-C 2 2'
_cell_length_a 4.225
_cell_length_b 11.451
_cell_length_c 4.336
_cell_angle_alpha 90.00
_cell_angle_beta 90.00
_cell_angle_gamma 90.00
loop_
_atom_site_label
_atom_site_type_symbol
_atom_site_fract_x
_atom_site_fract_y
_atom_site_fract_z
Er1 Er 0.000 0.000 0.000
Zn1 Zn 0.000 0.172 0.500
Zn2 Zn 0.000 0.316 0.000
Zn3 Zn 0.000 0.500 0.500
```